1.
Below is a relaxed structure of SrZrMn, with properties calculated at the PBEsol level.

Unit cell a=3.4601 b=3.4601 c=7.0104 alpha=90.00 beta=90.00 gamma=120.00
Last column: nearest neighbours and their distance in Å.
Atoms (fractional coordinates):
Zr 0.6667 0.3333 0.2561  3 Mn 2.52
Sr 0.3333 0.6667 0.7077  3 Mn 3.05
Mn 0.0000 0.0000 0.0362  3 Zr 2.52

Values from the calculation:
- Formation enthalpy at 0 K: 0.7245 eV/atom
- Space group: P3m1 (156)
- Offset from the most stable computed form: 262 meV/atom
- Total magnetic moment: 1.32 μB per formula unit
- DOS(E_F): 1.147 states/eV/atom

---

2.
Below is a relaxed structure of ReINO2, with properties calculated at the PBEsol level.

Unit cell a=3.7935 b=3.7935 c=4.2017 alpha=90.00 beta=90.00 gamma=90.00
Last column: nearest neighbours and their distance in Å.
Atoms (fractional coordinates):
I 0.0000 0.0000 0.5000  2 N 2.10
N 0.0000 0.0000 0.0000  4 O 1.90, 2 I 2.10
O 0.0000 0.5000 0.0000  2 N 1.90
O 0.5000 0.0000 0.0000  2 N 1.90
Re 0.5000 0.5000 0.5000  4 I 2.68, 8 O 2.83

Values from the calculation:
- Space group: P4/mmm (123)
- Total magnetic moment: 0.00 μB per formula unit
- Formation energy without anion corrections: 176 kJ/mol of atoms
- DOS(E_F): 0.746 states/eV/atom